DFT (meta-GGA SCAN) results for a crystal of SrBeSi2 relaxed with PBEsol.

Properties
ρ = 3.57 g/cm3
Crystal system = orthorhombic
ΔE_f (raw) = 160 meV/atom
E_tot = -46.02 eV per cell

abc: 3.077 3.491 6.615
angles: 90.00 90.00 90.00
Fractional coordinates of all 4 atoms:
Sr (0.000, 0.000, 0.000)
Be (0.000, 0.000, 0.500)
Si (0.500, 0.500, 0.327)
Si (0.500, 0.500, 0.673)